No. 1
Compound: IrRuSe3
Source: Alexandria
Functional: PBE
Structure: optimized geometry

## Properties
Spin magnetization = 2.80 μB per formula unit
Polymorph energy (0 for the lowest one) = 0 meV/atom
ρ = 7603 kg/m³
Formation energy (no corrections) = 5.68 eV per formula unit

Unit cell a=4.8742 b=4.8742 c=4.8742 alpha=90.00 beta=90.00 gamma=90.00
Space group Pm-3m (No. 221)
Asymmetric unit:
Ir 0.0000 0.0000 0.0000 (multiplicity 1)
Ru 0.5000 0.5000 0.5000 (multiplicity 1)
Se 0.0000 0.0000 0.5000 (multiplicity 3)

No. 2
Compound: CaCu4
Source: Alexandria
Functional: PBE
Structure: optimized geometry

## Properties
Spin magnetization = 0.00 μB per formula unit
ρ = 4069 kg/m³
DFT formation energy = 1.489 eV/atom

Unit cell a=4.9335 b=4.9335 c=4.9335 alpha=90.00 beta=90.00 gamma=90.00
Space group Pm-3m (No. 221)
Asymmetric unit:
Ca 0.0000 0.0000 0.0000 (multiplicity 1)
Cu 0.0000 0.0000 0.5000 (multiplicity 3)
Cu 0.5000 0.5000 0.5000 (multiplicity 1)

No. 3
Compound: SrGa2Ru
Source: Alexandria
Functional: PBE
Structure: optimized geometry

## Properties
Spin magnetization = 0.00 μB per formula unit
ρ = 7015 kg/m³
DFT formation energy = 0.034 eV/atom

Unit cell a=6.7728 b=6.7728 c=6.7728 alpha=90.00 beta=90.00 gamma=90.00
Space group Fm-3m (No. 225)
Asymmetric unit:
Sr 0.0000 0.0000 0.0000 (multiplicity 4)
Ga 0.2500 0.2500 0.2500 (multiplicity 8)
Ru 0.0000 0.0000 0.5000 (multiplicity 4)

No. 4
Compound: Pr3FeAg
Source: Alexandria
Functional: PBE
Structure: optimized geometry

## Properties
Spin magnetization = 0.00 μB per formula unit
ρ = 6607 kg/m³
DFT formation energy = 0.156 eV/atom

Unit cell a=5.2822 b=5.2822 c=5.2822 alpha=90.00 beta=90.00 gamma=90.00
Space group Pm-3m (No. 221)
Asymmetric unit:
Pr 0.0000 0.0000 0.5000 (multiplicity 3)
Fe 0.0000 0.0000 0.0000 (multiplicity 1)
Ag 0.5000 0.5000 0.5000 (multiplicity 1)